Record 1
Entry from the Alexandria database: an optimized crystal structure of Cd3P (PBE-GGA).

Geometry as CIF:
```
data_Cd3P
_chemical_formula_sum 'Cd3 P1'
_symmetry_space_group_name_H-M 'P 1 2/m 1'
_symmetry_Int_Tables_number 10
_cell_length_a 4.261
_cell_length_b 4.068
_cell_length_c 5.573
_cell_angle_alpha 90.00
_cell_angle_beta 108.12
_cell_angle_gamma 90.00
loop_
_symmetry_equiv_pos_as_xyz
'x,y,z'
'-x,-y,-z'
'-x,y,-z'
'x,-y,z'
loop_
_atom_site_label
_atom_site_fract_x
_atom_site_fract_y
_atom_site_fract_z
Cd1 0.000 0.000 0.000
Cd2 0.402 0.500 0.731
P1 0.000 0.000 0.500
```

Values from the calculation:
crystal system: monoclinic
energy: -1.90 eV per atom
Fermi-level density of states: 0.966 states/eV/cell
E above lowest polymorph: 0.0502 eV per atom
energy relative to the elements: 0.14 eV/atom

---

Record 2
Entry from the Alexandria database: an optimized crystal structure of In2TeP (PBE-GGA).

Geometry as CIF:
```
data_In2TeP
_chemical_formula_sum 'In2 Te1 P1'
_symmetry_space_group_name_H-M 'P 4 m m'
_symmetry_Int_Tables_number 99
_cell_length_a 3.989
_cell_length_b 3.989
_cell_length_c 6.882
_cell_angle_alpha 90.00
_cell_angle_beta 90.00
_cell_angle_gamma 90.00
loop_
_symmetry_equiv_pos_as_xyz
'x,y,z'
'-y,x,z'
'-x,-y,z'
'y,-x,z'
'-x,y,z'
'y,x,z'
'x,-y,z'
'-y,-x,z'
loop_
_atom_site_label
_atom_site_fract_x
_atom_site_fract_y
_atom_site_fract_z
In1 0.000 0.000 0.000
In2 0.500 0.500 0.405
Te1 0.500 0.500 0.852
P1 0.000 0.000 0.374
```

Values from the calculation:
crystal system: tetragonal
energy: -3.61 eV per atom
Fermi-level density of states: 1.103 states/eV/cell
E above lowest polymorph: 0.0465 eV per atom
formation energy from raw total energies: -106 meV/atom

---

Record 3
Entry from the Alexandria database: an optimized crystal structure of Cs3K5Na2 (PBE-GGA).

Geometry as CIF:
```
data_Cs3K5Na2
_chemical_formula_sum 'Cs6 K10 Na4'
_symmetry_space_group_name_H-M 'P 4/m b m'
_symmetry_Int_Tables_number 127
_symmetry_space_group_name_Hall '-P 4 2ab'
_cell_length_a 15.247
_cell_length_b 15.247
_cell_length_c 6.654
_cell_angle_alpha 90.00
_cell_angle_beta 90.00
_cell_angle_gamma 90.00
loop_
_atom_site_label
_atom_site_fract_x
_atom_site_fract_y
_atom_site_fract_z
Cs1 0.000 0.000 0.000
Cs2 0.175 0.325 0.000
K1 0.000 0.500 0.500
K2 0.072 0.784 0.500
Na1 0.116 0.616 0.000
```

Values from the calculation:
crystal system: tetragonal
energy: -1.05 eV per atom
Fermi-level density of states: 18.658 states/eV/cell
E above lowest polymorph: 0.0000 eV per atom
energy relative to the elements: 0.02 eV/atom

---

Record 4
Entry from the Alexandria database: an optimized crystal structure of NdHo3Pt2 (PBE-GGA).

Geometry as CIF:
```
data_NdHo3Pt2
_chemical_formula_sum 'Nd4 Ho12 Pt8'
_symmetry_space_group_name_H-M 'C 1 2/m 1'
_symmetry_Int_Tables_number 12
_cell_length_a 15.600
_cell_length_b 5.131
_cell_length_c 8.237
_cell_angle_alpha 90.00
_cell_angle_beta 109.68
_cell_angle_gamma 90.00
loop_
_symmetry_equiv_pos_as_xyz
'x,y,z'
'-x,-y,-z'
'-x,y,-z'
'x,-y,z'
'x+1/2,y+1/2,z'
'-x+1/2,-y+1/2,-z'
'-x+1/2,y+1/2,-z'
'x+1/2,-y+1/2,z'
loop_
_atom_site_label
_atom_site_fract_x
_atom_site_fract_y
_atom_site_fract_z
Nd1 0.155 0.000 0.253
Ho1 0.063 0.000 0.757
Ho2 0.120 0.500 0.516
Ho3 0.184 0.500 0.000
Pt1 0.005 0.500 0.172
Pt2 0.213 0.000 0.642
```

Values from the calculation:
crystal system: monoclinic
energy: -5.87 eV per atom
Fermi-level density of states: 19.378 states/eV/cell
E above lowest polymorph: 0.1585 eV per atom
energy relative to the elements: -0.78 eV/atom

---

Record 5
Entry from the Alexandria database: an optimized crystal structure of BaCu2AsF8 (PBE-GGA).

Geometry as CIF:
```
data_BaCu2AsF8
_chemical_formula_sum 'Ba2 Cu4 As2 F16'
_symmetry_space_group_name_H-M 'C 1 2/m 1'
_symmetry_Int_Tables_number 12
_cell_length_a 8.045
_cell_length_b 6.056
_cell_length_c 8.088
_cell_angle_alpha 90.00
_cell_angle_beta 91.04
_cell_angle_gamma 90.00
loop_
_symmetry_equiv_pos_as_xyz
'x,y,z'
'-x,-y,-z'
'-x,y,-z'
'x,-y,z'
'x+1/2,y+1/2,z'
'-x+1/2,-y+1/2,-z'
'-x+1/2,y+1/2,-z'
'x+1/2,-y+1/2,z'
loop_
_atom_site_label
_atom_site_fract_x
_atom_site_fract_y
_atom_site_fract_z
Ba1 0.000 0.000 0.000
Cu1 0.149 0.500 0.281
As1 0.000 0.000 0.500
F1 0.001 0.219 0.700
F2 0.178 0.500 0.048
F3 0.246 0.500 0.500
```

Values from the calculation:
crystal system: monoclinic
energy: -4.61 eV per atom
Fermi-level density of states: 9.715 states/eV/cell
formation energy from raw total energies: -2135 meV/atom

---

Record 6
Entry from the Alexandria database: an optimized crystal structure of SmTm3Pt2 (PBE-GGA).

Geometry as CIF:
```
data_SmTm3Pt2
_chemical_formula_sum 'Sm2 Tm6 Pt4'
_symmetry_space_group_name_H-M 'P m c 21'
_symmetry_Int_Tables_number 26
_cell_length_a 4.749
_cell_length_b 8.744
_cell_length_c 7.120
_cell_angle_alpha 90.00
_cell_angle_beta 90.00
_cell_angle_gamma 90.00
loop_
_symmetry_equiv_pos_as_xyz
'x,y,z'
'-x,-y,z+1/2'
'-x,y,z'
'x,-y,z+1/2'
loop_
_atom_site_label
_atom_site_fract_x
_atom_site_fract_y
_atom_site_fract_z
Sm1 0.000 0.081 0.000
Tm1 0.000 0.332 0.634
Tm2 0.500 0.175 0.347
Tm3 0.500 0.421 0.979
Pt1 0.000 0.348 0.236
Pt2 0.500 0.161 0.744
```

Values from the calculation:
crystal system: orthorhombic
energy: -6.01 eV per atom
Fermi-level density of states: 11.348 states/eV/cell
energy relative to the elements: -0.97 eV/atom